# 1
Pr6As3PbS2 | Alexandria | PBE-GGA | optimized geometry; formation energy without anion corrections = -1503.1 meV per atom
1.0
9.3707 -2.1402 0.0000
9.3707 2.1402 0.0000
-1.9655 0.0000 8.4223
Pr As Pb S
6 3 1 2
Direct
0.0026 0.0026 0.2660 Pr
0.3273 0.3273 0.9128 Pr
0.3330 0.3330 0.4154 Pr
0.6670 0.6670 0.5846 Pr
0.6727 0.6727 0.0872 Pr
0.9974 0.9974 0.7340 Pr
0.1655 0.1655 0.8310 As
0.5000 0.5000 0.5000 As
0.8345 0.8345 0.1690 As
0.5000 0.5000 0.0000 Pb
0.1702 0.1702 0.3392 S
0.8298 0.8298 0.6608 S

=====

# 2
Si4SbPb | Alexandria | PBE-GGA | optimized geometry; formation energy without anion corrections = 530.1 meV per atom
1.0
0.0000 3.8935 3.8935
3.8935 0.0000 3.8935
3.8935 3.8935 0.0000
Si Sb Pb
4 1 1
Direct
0.3769 0.3769 0.3769 Si
0.3769 0.3769 0.8692 Si
0.3769 0.8692 0.3769 Si
0.8692 0.3769 0.3769 Si
0.7500 0.7500 0.7500 Sb
0.0000 0.0000 0.0000 Pb

=====

# 3
Ba2FeRe | Alexandria | PBE-GGA | optimized geometry; calculated formation energy = 1.356 eV/atom
1.0
7.7484 0.0000 0.0000
0.0000 7.7484 0.0000
0.0000 0.0000 7.7484
Ba Fe Re
8 4 4
Direct
0.2500 0.2500 0.2500 Ba
0.2500 0.2500 0.7500 Ba
0.2500 0.7500 0.2500 Ba
0.2500 0.7500 0.7500 Ba
0.7500 0.2500 0.2500 Ba
0.7500 0.2500 0.7500 Ba
0.7500 0.7500 0.2500 Ba
0.7500 0.7500 0.7500 Ba
0.0000 0.0000 0.0000 Fe
0.0000 0.5000 0.5000 Fe
0.5000 0.0000 0.5000 Fe
0.5000 0.5000 0.0000 Fe
0.0000 0.0000 0.5000 Re
0.0000 0.5000 0.0000 Re
0.5000 0.0000 0.0000 Re
0.5000 0.5000 0.5000 Re

=====

# 4
TaGeSe2 | Alexandria | PBE-GGA | optimized geometry; formation energy without anion corrections = 247.1 meV per atom
1.0
6.4171 0.0000 0.0000
0.0000 6.4171 0.0000
0.0000 0.0000 10.6688
Ta Ge Se
4 4 8
Direct
0.0000 0.0000 0.0000 Ta
0.0000 0.5000 0.2500 Ta
0.5000 0.0000 0.7500 Ta
0.5000 0.5000 0.5000 Ta
0.0000 0.0000 0.5000 Ge
0.0000 0.5000 0.7500 Ge
0.5000 0.0000 0.2500 Ge
0.5000 0.5000 0.0000 Ge
0.2164 0.2500 0.1250 Se
0.2500 0.7164 0.3750 Se
0.2500 0.7836 0.8750 Se
0.2836 0.2500 0.6250 Se
0.7164 0.7500 0.6250 Se
0.7500 0.2164 0.8750 Se
0.7500 0.2836 0.3750 Se
0.7836 0.7500 0.1250 Se

=====

# 5
ErTlZnAu | Alexandria | PBE-GGA | optimized geometry; calculated formation energy = -0.358 eV/atom
1.0
7.0044 0.0000 0.0000
0.0000 7.0044 0.0000
0.0000 0.0000 7.0044
Er Tl Zn Au
4 4 4 4
Direct
0.0000 0.0000 0.0000 Er
0.0000 0.5000 0.5000 Er
0.5000 0.0000 0.5000 Er
0.5000 0.5000 0.0000 Er
0.0000 0.0000 0.5000 Tl
0.0000 0.5000 0.0000 Tl
0.5000 0.0000 0.0000 Tl
0.5000 0.5000 0.5000 Tl
0.2500 0.2500 0.7500 Zn
0.2500 0.7500 0.2500 Zn
0.7500 0.2500 0.2500 Zn
0.7500 0.7500 0.7500 Zn
0.2500 0.2500 0.2500 Au
0.2500 0.7500 0.7500 Au
0.7500 0.2500 0.7500 Au
0.7500 0.7500 0.2500 Au

=====

# 6
NaY2H | Alexandria | PBE-GGA | optimized geometry; final energy = -3.7308 eV per atom
1.0
7.3660 0.0000 0.0000
0.0000 7.3660 0.0000
0.0000 0.0000 7.3660
Na Y H
4 8 4
Direct
0.0000 0.0000 0.0000 Na
0.0000 0.5000 0.5000 Na
0.5000 0.0000 0.5000 Na
0.5000 0.5000 0.0000 Na
0.2500 0.2500 0.2500 Y
0.2500 0.2500 0.7500 Y
0.2500 0.7500 0.2500 Y
0.2500 0.7500 0.7500 Y
0.7500 0.2500 0.2500 Y
0.7500 0.2500 0.7500 Y
0.7500 0.7500 0.2500 Y
0.7500 0.7500 0.7500 Y
0.0000 0.0000 0.5000 H
0.0000 0.5000 0.0000 H
0.5000 0.0000 0.0000 H
0.5000 0.5000 0.5000 H

=====

# 7
Er4MgTe2 | Alexandria | PBE-GGA | optimized geometry; formation energy without anion corrections = -539.1 meV per atom
1.0
0.0000 6.3228 7.2389
4.6686 0.0000 7.2389
4.6686 6.3228 0.0000
Er Mg Te
8 2 4
Direct
0.1222 0.2908 0.3447 Er
0.2577 0.6553 0.7092 Er
0.2908 0.1222 0.7423 Er
0.3447 0.7423 0.1222 Er
0.6553 0.2577 0.8778 Er
0.7092 0.8778 0.2577 Er
0.7423 0.3447 0.2908 Er
0.8778 0.7092 0.6553 Er
0.3750 0.3750 0.3750 Mg
0.6250 0.6250 0.6250 Mg
0.0000 0.0000 0.0000 Te
0.0000 0.0000 0.5000 Te
0.0000 0.5000 0.0000 Te
0.5000 0.0000 0.0000 Te

=====

# 8
LaZn3S | Alexandria | PBE-GGA | optimized geometry; formation energy without anion corrections = 142.6 meV per atom
1.0
4.8609 0.0000 0.0000
0.0000 4.8609 0.0000
0.0000 0.0000 4.8609
La Zn S
1 3 1
Direct
0.0000 0.0000 0.0000 La
0.0000 0.5000 0.5000 Zn
0.5000 0.0000 0.5000 Zn
0.5000 0.5000 0.0000 Zn
0.5000 0.5000 0.5000 S

=====

# 9
Pr3Si4Pd | Alexandria | PBE-GGA | optimized geometry; formation energy without anion corrections = -627.5 meV per atom
1.0
4.5424 0.0000 0.0000
0.0000 5.7577 0.0000
0.0000 0.0000 14.9096
Pr Si Pd
6 8 2
Direct
0.0000 0.0000 0.0000 Pr
0.0000 0.5000 0.1918 Pr
0.0000 0.5000 0.8082 Pr
0.5000 0.0000 0.3082 Pr
0.5000 0.0000 0.6918 Pr
0.5000 0.5000 0.5000 Pr
0.0000 0.2929 0.3819 Si
0.0000 0.2929 0.6181 Si
0.0000 0.7071 0.3819 Si
0.0000 0.7071 0.6181 Si
0.5000 0.2071 0.1181 Si
0.5000 0.2071 0.8819 Si
0.5000 0.7929 0.1181 Si
0.5000 0.7929 0.8819 Si
0.0000 0.0000 0.5000 Pd
0.5000 0.5000 0.0000 Pd

=====

# 10
Pr3BiC | Alexandria | PBE-GGA | optimized geometry; calculated formation energy = -0.435 eV/atom
1.0
6.9932 0.0000 0.0000
0.0000 6.9938 0.0000
-6.9825 0.0000 12.0633
Pr Bi C
12 4 4
Direct
0.1690 0.1873 0.0002 Pr
0.1690 0.3127 0.5002 Pr
0.2505 0.0009 0.7517 Pr
0.2505 0.4991 0.2517 Pr
0.3130 0.6689 0.0003 Pr
0.3130 0.8311 0.5003 Pr
0.6870 0.1689 0.4997 Pr
0.6870 0.3311 0.9997 Pr
0.7495 0.5009 0.7483 Pr
0.7495 0.9991 0.2483 Pr
0.8310 0.6873 0.4998 Pr
0.8310 0.8127 0.9998 Pr
0.2508 0.5014 0.7500 Bi
0.2508 0.9986 0.2500 Bi
0.7492 0.0014 0.7500 Bi
0.7492 0.4986 0.2500 Bi
0.0579 0.0001 0.5581 C
0.0579 0.4999 0.0581 C
0.9421 0.9999 0.4419 C
0.9421 0.5001 0.9419 C

=====

# 11
LiSi2As | Alexandria | PBE-GGA | optimized geometry; formation energy without anion corrections = 56.7 meV per atom
1.0
2.5731 0.0000 0.0000
0.0000 5.0051 0.0000
0.0000 0.0000 5.0168
Li Si As
1 2 1
Direct
0.0000 0.0000 0.0000 Li
0.5000 0.5000 0.2468 Si
0.5000 0.5000 0.7532 Si
0.5000 0.0000 0.5000 As

=====

# 12
La2Pm3Sm6 | Alexandria | PBE-GGA | optimized geometry; calculated formation energy = 0.174 eV/atom
1.0
3.1287 -5.4365 0.0000
3.1287 5.4365 0.0000
-2.1325 0.0000 11.7829
La Pm Sm
2 3 6
Direct
0.1667 0.8333 0.0000 La
0.8333 0.1667 0.0000 La
0.0000 0.0000 0.5000 Pm
0.3355 0.6645 0.5000 Pm
0.6645 0.3355 0.5000 Pm
0.0829 0.4160 0.7484 Sm
0.2504 0.2504 0.2521 Sm
0.4160 0.0829 0.7484 Sm
0.5840 0.9171 0.2516 Sm
0.7496 0.7496 0.7479 Sm
0.9171 0.5840 0.2516 Sm

=====

# 13
InRh3 | Alexandria | PBE-GGA | optimized geometry; calculated formation energy = -0.114 eV/atom
1.0
5.7034 0.0000 0.0000
0.0000 7.5954 0.0000
0.0000 0.0000 2.8681
In Rh
2 6
Direct
0.0000 0.0000 0.0000 In
0.5000 0.5000 0.0000 In
0.0000 0.5000 0.0000 Rh
0.2500 0.2500 0.5000 Rh
0.2500 0.7500 0.5000 Rh
0.5000 0.0000 0.0000 Rh
0.7500 0.2500 0.5000 Rh
0.7500 0.7500 0.5000 Rh

=====

# 14
AcTbGa2Ni2 | Alexandria | PBE-GGA | optimized geometry; calculated formation energy = -0.535 eV/atom
1.0
4.4032 0.0000 0.0000
-2.2016 3.8133 0.0000
0.0000 0.0000 7.4292
Ac Tb Ga Ni
1 1 2 2
Direct
0.0000 0.0000 0.0000 Ac
0.0000 0.0000 0.5000 Tb
0.3333 0.6667 0.2918 Ga
0.6667 0.3333 0.7082 Ga
0.3333 0.6667 0.7078 Ni
0.6667 0.3333 0.2922 Ni

=====

# 15
LiHf2Rh | Alexandria | PBE-GGA | optimized geometry; calculated formation energy = -0.354 eV/atom
1.0
4.5811 0.0000 0.0000
0.0000 4.5811 0.0000
0.0000 0.0000 3.3168
Li Hf Rh
1 2 1
Direct
0.0000 0.0000 0.0000 Li
0.0000 0.5000 0.5000 Hf
0.5000 0.0000 0.5000 Hf
0.5000 0.5000 0.0000 Rh

=====

# 16
VInFe2 | Alexandria | PBE-GGA | optimized geometry; calculated formation energy = 0.038 eV/atom
1.0
2.9359 0.0000 0.0000
0.0000 2.9359 0.0000
0.0000 0.0000 6.2148
V In Fe
1 1 2
Direct
0.0000 0.0000 0.0000 V
0.0000 0.0000 0.5000 In
0.5000 0.5000 0.2119 Fe
0.5000 0.5000 0.7881 Fe

=====

# 17
SrAg2GeI6 | Alexandria | PBE-GGA | optimized geometry; formation energy without anion corrections = -683.4 meV per atom
1.0
7.6716 -6.8436 0.0000
7.6716 6.8436 0.0000
-1.3640 0.0000 7.9211
Sr Ag Ge I
2 4 2 12
Direct
0.0904 0.9096 0.7500 Sr
0.9096 0.0904 0.2500 Sr
0.3158 0.4828 0.7154 Ag
0.4828 0.3158 0.2154 Ag
0.5172 0.6842 0.7846 Ag
0.6842 0.5172 0.2846 Ag
0.2528 0.7472 0.2500 Ge
0.7472 0.2528 0.7500 Ge
0.0243 0.2108 0.6336 I
0.1294 0.6268 0.9085 I
0.2108 0.0243 0.1336 I
0.2807 0.4748 0.3653 I
0.3732 0.8706 0.5915 I
0.4748 0.2807 0.8653 I
0.5252 0.7193 0.1347 I
0.6268 0.1294 0.4085 I
0.7193 0.5252 0.6347 I
0.7892 0.9757 0.8664 I
0.8706 0.3732 0.0915 I
0.9757 0.7892 0.3664 I

=====

# 18
Pu4AgPt3 | Alexandria | PBE-GGA | optimized geometry; calculated formation energy = -0.542 eV/atom
1.0
5.0030 0.0000 0.0000
2.4490 4.4061 0.0000
2.4269 1.3838 8.0982
Pu Ag Pt
4 1 3
Direct
0.1174 0.1148 0.1458 Pu
0.3678 0.3671 0.3960 Pu
0.6322 0.6329 0.6040 Pu
0.8826 0.8852 0.8542 Pu
0.5000 0.5000 0.0000 Ag
0.0000 0.0000 0.5000 Pt
0.2420 0.2484 0.7776 Pt
0.7580 0.7516 0.2224 Pt

=====

# 19
Na2AgH | Alexandria | PBE-GGA | optimized geometry; final energy = -2.2397 eV per atom
1.0
3.1586 0.0000 0.0000
-1.5793 2.7354 0.0000
0.0000 0.0000 24.3092
Na Ag H
6 3 3
Direct
0.0000 0.0000 0.0000 Na
0.0000 0.0000 0.2128 Na
0.3333 0.6667 0.6667 Na
0.3333 0.6667 0.8795 Na
0.6667 0.3333 0.3333 Na
0.6667 0.3333 0.5461 Na
0.0000 0.0000 0.4398 Ag
0.3333 0.6667 0.1065 Ag
0.6667 0.3333 0.7731 Ag
0.0000 0.0000 0.6061 H
0.3333 0.6667 0.2728 H
0.6667 0.3333 0.9395 H

=====

# 20
LaAlNi | Alexandria | PBE-GGA | optimized geometry; calculated formation energy = -0.531 eV/atom
1.0
7.1661 0.0000 0.0000
0.0000 4.2071 0.0000
0.0000 0.0000 15.9846
La Al Ni
8 8 8
Direct
0.0123 0.2500 0.2222 La
0.1453 0.2500 0.4397 La
0.3547 0.7500 0.9397 La
0.4877 0.7500 0.7222 La
0.5123 0.2500 0.2778 La
0.6453 0.2500 0.0603 La
0.8547 0.7500 0.5603 La
0.9877 0.7500 0.7778 La
0.0094 0.2500 0.9397 Al
0.1690 0.2500 0.6462 Al
0.3310 0.7500 0.1462 Al
0.4906 0.7500 0.4397 Al
0.5094 0.2500 0.5603 Al
0.6690 0.2500 0.8538 Al
0.8310 0.7500 0.3538 Al
0.9906 0.7500 0.0603 Al
0.2028 0.2500 0.0722 Ni
0.2267 0.7500 0.3195 Ni
0.2733 0.2500 0.8195 Ni
0.2972 0.7500 0.5722 Ni
0.7028 0.2500 0.4278 Ni
0.7267 0.7500 0.1805 Ni
0.7733 0.2500 0.6805 Ni
0.7972 0.7500 0.9278 Ni

=====

For reference, calculated volume by record: 28.2; 19.7; 29.1; 27.5; 21.5; 25.0; 30.5; 23.0; 24.4; 29.5; 16.2; 36.4; 15.5; 20.8; 17.4; 13.4; 41.6; 22.3; 17.5; 20.1 Å³/atom.